# 1
VASP calculation (SCAN) on a PBEsol-optimized structure of NiRu2Pb.

Cell lengths 4.3825, 4.3825, 4.3825 Å; angles 60.00, 60.00, 60.00 degrees
Closest atoms and distances in Å follow each position.
Atoms (fractional coordinates):
Pb  0.2500  0.2500  0.2500  4 Ru 2.68, 4 Ni 2.68
Ru  0.0000  0.0000  0.0000  4 Ru 2.68, 4 Pb 2.68
Ru  0.7500  0.7500  0.7500  4 Ni 2.68, 4 Ru 2.68
Ni  0.5000  0.5000  0.5000  4 Pb 2.68, 4 Ru 2.68

Formation energy from the elements ... 14.64 kcal/mol of atoms
Spin magnetization ... 0.00 μB/f.u.

***

# 2
VASP calculation (SCAN) on a PBEsol-optimized structure of NiRu2Pb.

Cell lengths 2.9130, 4.5254, 4.9542 Å; angles 100.82, 90.00, 108.77 degrees
Closest atoms and distances in Å follow each position.
Atoms (fractional coordinates):
Ru  0.7394  0.4787  0.7054  2 Ru 2.54, 3 Ni 2.56-2.63, 3 Pb 2.74-2.82
Ru  0.2606  0.5213  0.2946  2 Ru 2.54, 3 Ni 2.56-2.63, 3 Pb 2.74-2.82
Ni  0.0000  0.0000  0.5000  6 Ru 2.56-2.63
Pb  0.5000  0.0000  0.0000  6 Ru 2.74-2.82, 4 Ni 2.87, 2 Pb 2.91

Formation energy from the elements ... 10.92 kcal/mol of atoms
Spin magnetization ... 0.00 μB/f.u.

***

# 3
VASP calculation (SCAN) on a PBEsol-optimized structure of NiRuPb2.

Cell lengths 3.2778, 3.2778, 8.1582 Å; angles 78.41, 78.41, 60.00 degrees
Closest atoms and distances in Å follow each position.
Atoms (fractional coordinates):
Ni  0.0000  0.0000  0.0000  6 Pb 2.70
Ru  0.5000  0.5000  0.5000  6 Pb 2.78
Pb  0.7477  0.7477  0.7570  3 Ni 2.70, 3 Ru 2.78
Pb  0.2523  0.2523  0.2430  3 Ni 2.70, 3 Ru 2.78

Formation energy from the elements ... 12.68 kcal/mol of atoms
Spin magnetization ... 0.00 μB/f.u.

***

# 4
VASP calculation (SCAN) on a PBEsol-optimized structure of NiRu2Pb.

Cell lengths 3.0520, 3.0520, 6.4344 Å; angles 90.00, 90.00, 90.00 degrees
Closest atoms and distances in Å follow each position.
Atoms (fractional coordinates):
Ru  0.0000  0.0000  0.2047  4 Ni 2.53, 1 Ru 2.63
Ru  0.0000  0.0000  0.7953  4 Ni 2.53, 1 Ru 2.63
Ni  0.5000  0.5000  0.0000  8 Ru 2.53
Pb  0.5000  0.5000  0.5000  8 Ru 2.88, 4 Pb 3.05, 2 Ni 3.22

Formation energy from the elements ... 13.18 kcal/mol of atoms
Spin magnetization ... 0.00 μB/f.u.

***

# 5
VASP calculation (SCAN) on a PBEsol-optimized structure of Ni3Pb2S2.

Cell lengths 5.5240, 5.5240, 5.5240 Å; angles 60.28, 60.28, 60.28 degrees
Closest atoms and distances in Å follow each position.
Atoms (fractional coordinates):
Pb  0.0000  0.0000  0.0000  6 Ni 2.76
Pb  0.5000  0.5000  0.5000  6 Ni 2.77, 2 S 3.05
S  0.2742  0.2742  0.2742  3 Ni 2.16
S  0.7258  0.7258  0.7258  3 Ni 2.16
Ni  0.0000  0.5000  0.0000  2 S 2.16
Ni  0.5000  0.0000  0.0000  2 S 2.16
Ni  0.0000  0.0000  0.5000  2 S 2.16

Spin magnetization ... 0.00 μB/f.u.
Energy relative to the elements, uncorrected ... -0.336 eV per atom
ΔE to the lowest computed polymorph ... 0 meV/atom

***

# 6
VASP calculation (SCAN) on a PBEsol-optimized structure of Ni3Pb2S2.

Cell lengths 6.8505, 6.8505, 6.8505 Å; angles 109.47, 109.47, 109.47 degrees
Closest atoms and distances in Å follow each position.
Atoms (fractional coordinates):
Ni  0.9890  0.2500  0.2390  2 S 2.13
Ni  0.7390  0.9890  0.7500  2 S 2.13
Ni  0.7500  0.7610  0.0110  2 S 2.13
Ni  0.2500  0.7390  0.4890  2 S 2.13
Ni  0.5110  0.7500  0.2610  2 S 2.13
Ni  0.7610  0.5110  0.2500  2 S 2.13
S  0.0000  0.5000  0.5353  3 Ni 2.13
S  0.4647  0.4647  0.9647  3 Ni 2.13
S  0.0353  0.0000  0.0000  3 Ni 2.13
S  0.5000  0.0353  0.5000  3 Ni 2.13
Pb  0.4876  0.0000  0.0000  6 Ni 2.81-2.86, 1 S 3.10
Pb  0.5000  0.4876  0.5000  6 Ni 2.81-2.86, 1 S 3.10
Pb  0.0000  0.5000  0.9876  6 Ni 2.81-2.86, 1 S 3.10
Pb  0.0124  0.0124  0.5124  6 Ni 2.81-2.86, 1 S 3.10

Spin magnetization ... 0.00 μB/f.u.
Energy relative to the elements, uncorrected ... -0.321 eV per atom
ΔE to the lowest computed polymorph ... 15 meV/atom

***

# 7
VASP calculation (SCAN) on a PBEsol-optimized structure of TaNiPb2S.

Cell lengths 4.6820, 4.9450, 4.9450 Å; angles 90.00, 90.00, 90.00 degrees
Closest atoms and distances in Å follow each position.
Atoms (fractional coordinates):
Ni  0.0000  0.0000  0.0000  2 Ta 2.34, 4 Pb 2.47
Pb  0.0000  0.0000  0.5000  2 Ni 2.47
Pb  0.0000  0.5000  0.0000  2 Ni 2.47
Ta  0.5000  0.0000  0.0000  2 Ni 2.34
S  0.5000  0.5000  0.5000  8 Pb 3.40, 4 Ta 3.50

Spin magnetization ... 1.18 μB/f.u.
Energy relative to the elements, uncorrected ... 0.751 eV per atom

***

# 8
VASP calculation (SCAN) on a PBEsol-optimized structure of Ni2Sb2Pb.

Cell lengths 4.3776, 4.3776, 6.1747 Å; angles 110.76, 110.76, 90.00 degrees
Closest atoms and distances in Å follow each position.
Atoms (fractional coordinates):
Sb  0.3621  0.3621  0.7242  4 Ni 2.50
Sb  0.6379  0.6379  0.2758  4 Ni 2.50
Ni  0.7500  0.2500  0.5000  4 Sb 2.50
Ni  0.2500  0.7500  0.5000  4 Sb 2.50
Pb  0.0000  0.0000  0.0000  8 Sb 3.43, 8 Ni 3.45

Spin magnetization ... 0.00 μB/f.u.
Energy relative to the elements, uncorrected ... 0.039 eV per atom

***

# 9
VASP calculation (SCAN) on a PBEsol-optimized structure of NiSbPb2.

Cell lengths 3.4713, 3.4713, 9.2474 Å; angles 79.18, 79.18, 60.00 degrees
Closest atoms and distances in Å follow each position.
Atoms (fractional coordinates):
Ni  0.0000  0.0000  0.0000  6 Pb 2.66
Pb  0.2686  0.2686  0.1942  3 Ni 2.66
Pb  0.7314  0.7314  0.8058  3 Ni 2.66
Sb  0.5000  0.5000  0.5000  6 Pb 3.41, 6 Sb 3.47

Spin magnetization ... 0.00 μB/f.u.
Energy relative to the elements, uncorrected ... 0.255 eV per atom

***

# 10
VASP calculation (SCAN) on a PBEsol-optimized structure of Ni2SbPb.

Cell lengths 3.2496, 4.5835, 4.5835 Å; angles 90.07, 91.27, 91.27 degrees
Closest atoms and distances in Å follow each position.
Atoms (fractional coordinates):
Sb  0.5000  0.5000  0.5000  8 Ni 2.78-2.84
Ni  0.0000  0.0000  0.5000  4 Sb 2.78-2.84, 4 Pb 2.78-2.84
Ni  0.0000  0.5000  0.0000  4 Pb 2.78-2.84, 4 Sb 2.78-2.84
Pb  0.5000  0.0000  0.0000  8 Ni 2.78-2.84

Spin magnetization ... 0.00 μB/f.u.
Energy relative to the elements, uncorrected ... 0.335 eV per atom

***

# 11
VASP calculation (SCAN) on a PBEsol-optimized structure of NiSbPb2.

Cell lengths 3.4846, 3.4846, 9.2950 Å; angles 79.20, 79.20, 60.00 degrees
Closest atoms and distances in Å follow each position.
Atoms (fractional coordinates):
Sb  0.5232  0.5232  0.4304  3 Ni 2.50
Pb  0.7524  0.7524  0.7429  3 Sb 3.48, 9 Pb 3.48-3.51
Pb  0.9800  0.9800  0.0600  3 Ni 2.75
Ni  0.2444  0.2444  0.2667  3 Sb 2.50, 3 Pb 2.75

Spin magnetization ... 0.00 μB/f.u.
Energy relative to the elements, uncorrected ... 0.055 eV per atom

***

# 12
VASP calculation (SCAN) on a PBEsol-optimized structure of ScNiPb2.

Cell lengths 3.4348, 3.4348, 7.1701 Å; angles 90.00, 90.00, 101.47 degrees
Closest atoms and distances in Å follow each position.
Atoms (fractional coordinates):
Ni  0.5000  0.5000  0.0000  4 Pb 2.68
Pb  0.0000  0.0000  0.2176  2 Ni 2.68, 2 Sc 2.97
Pb  0.0000  0.0000  0.7824  2 Ni 2.68, 2 Sc 2.97
Sc  0.5000  0.5000  0.5000  4 Pb 2.97

Formation energy from the elements ... -1.11 kcal/mol of atoms
Spin magnetization ... 0.90 μB/f.u.
ΔE to the lowest computed polymorph ... 0 meV/atom

***

# 13
VASP calculation (SCAN) on a PBEsol-optimized structure of ScNiPb2.

Cell lengths 4.8850, 4.8723, 4.8850 Å; angles 59.91, 90.00, 120.09 degrees
Closest atoms and distances in Å follow each position.
Atoms (fractional coordinates):
Ni  0.0000  0.0000  0.0000  8 Pb 2.99
Sc  0.5000  0.0000  0.5000  8 Pb 2.99
Pb  0.2500  0.5000  0.2500  4 Ni 2.99, 4 Sc 2.99
Pb  0.7500  0.5000  0.7500  4 Sc 2.99, 4 Ni 2.99

Formation energy from the elements ... 0.61 kcal/mol of atoms
Spin magnetization ... 0.00 μB/f.u.
ΔE to the lowest computed polymorph ... 74 meV/atom

***

# 14
VASP calculation (SCAN) on a PBEsol-optimized structure of ScNi4Pb.

Cell lengths 4.8610, 4.8610, 4.8610 Å; angles 60.00, 60.00, 60.00 degrees
Closest atoms and distances in Å follow each position.
Atoms (fractional coordinates):
Ni  0.3746  0.3746  0.3746  6 Ni 2.42-2.44
Ni  0.3746  0.3746  0.8762  6 Ni 2.42-2.44
Ni  0.3746  0.8762  0.3746  6 Ni 2.42-2.44
Ni  0.8762  0.3746  0.3746  6 Ni 2.42-2.44
Pb  0.7500  0.7500  0.7500  12 Ni 2.85, 4 Sc 2.98
Sc  0.0000  0.0000  0.0000  12 Ni 2.85, 4 Pb 2.98

Formation energy from the elements ... -5.55 kcal/mol of atoms
Spin magnetization ... 0.00 μB/f.u.